[1]
The following is a DFT calculation (GGA-PBE) of a geometry-optimized NdEr4Tl5 structure.

Calculated values
The formation energy comes out at -0.33 eV/atom.

Unit cell a=3.7440 b=3.7440 c=19.5094 alpha=90.00 beta=90.00 gamma=90.00
Space group P4/mmm (No. 123)
One atom of each set of equivalent atoms:
Nd1 0.0000 0.0000 0.0000 x1
Er1 0.0000 0.0000 0.2063 x2
Er2 0.0000 0.0000 0.4022 x2
Tl1 0.5000 0.5000 0.1087 x2
Tl2 0.5000 0.5000 0.3050 x2
Tl3 0.5000 0.5000 0.5000 x1

[2]
The following is a DFT calculation (GGA-PBE) of a geometry-optimized Nd3Er5Tl2 structure.

Calculated values
The formation energy comes out at 0.08 eV/atom.

Unit cell a=12.9280 b=15.4784 c=6.4516 alpha=90.00 beta=90.00 gamma=90.00
Space group Ibam (No. 72)
One atom of each set of equivalent atoms:
Nd1 0.0000 0.0000 0.2500 x4
Nd2 0.1203 0.2369 0.0000 x8
Er1 0.0000 0.5000 0.2500 x4
Er2 0.1170 0.3364 0.5000 x8
Er3 0.2451 0.5000 0.2500 x8
Tl1 0.1380 0.1463 0.5000 x8

[3]
The following is a DFT calculation (GGA-PBE) of a geometry-optimized NdEr5Tl2 structure.

Calculated values
The formation energy comes out at -0.12 eV/atom.

Unit cell a=3.6475 b=10.3582 c=12.6825 alpha=90.00 beta=90.00 gamma=90.00
Space group Immm (No. 71)
One atom of each set of equivalent atoms:
Nd1 0.0000 0.0000 0.0000 x2
Er1 0.0000 0.2267 0.3660 x8
Er2 0.0000 0.5000 0.0000 x2
Tl1 0.0000 0.5000 0.2586 x4

[4]
The following is a DFT calculation (GGA-PBE) of a geometry-optimized Nd3Er2Tl7 structure.

Calculated values
The formation energy comes out at -0.12 eV/atom.

Unit cell a=5.5007 b=23.9135 c=5.6696 alpha=90.00 beta=90.00 gamma=90.00
Space group Cmmm (No. 65)
One atom of each set of equivalent atoms:
Nd1 0.0000 0.0000 0.0000 x2
Nd2 0.0000 0.1621 0.0000 x4
Er1 0.0000 0.3547 0.5000 x4
Tl1 0.0000 0.0774 0.5000 x4
Tl2 0.0000 0.2239 0.5000 x4
Tl3 0.0000 0.4163 0.0000 x4
Tl4 0.0000 0.5000 0.5000 x2

[5]
The following is a DFT calculation (GGA-PBE) of a geometry-optimized Nd2ErTl3 structure.

Calculated values
For the energy relative to the lowest polymorph listed for this composition, the calculation gives 138.7 meV/atom. The formation energy comes out at -0.23 eV/atom.

Unit cell a=3.7629 b=29.1307 c=6.7580 alpha=90.00 beta=90.00 gamma=90.00
Space group Cmcm (No. 63)
One atom of each set of equivalent atoms:
Nd1 0.0000 0.0053 0.2500 x4
Nd2 0.0000 0.1547 0.7500 x4
Er1 0.0000 0.3325 0.7500 x4
Tl1 0.0000 0.2530 0.2500 x4
Tl2 0.0000 0.4218 0.0093 x8

[6]
The following is a DFT calculation (GGA-PBE) of a geometry-optimized Nd3Er2Tl2 structure.

Calculated values
For the energy relative to the lowest polymorph listed for this composition, the calculation gives 0.0 meV/atom. The formation energy comes out at -0.19 eV/atom.

Unit cell a=9.5521 b=5.5251 c=8.7211 alpha=90.00 beta=111.51 gamma=90.00
Space group C2/m (No. 12)
One atom of each set of equivalent atoms:
Nd1 0.0000 0.0000 0.0000 x2
Nd2 0.1573 0.0000 0.4718 x4
Er1 0.0732 0.5000 0.7190 x4
Tl1 0.2127 0.5000 0.1384 x4

[7]
The following is a DFT calculation (GGA-PBE) of a geometry-optimized Nd4Er5Tl2 structure.

Calculated values
The formation energy comes out at 0.00 eV/atom.

Unit cell a=8.6724 b=3.5331 c=11.4241 alpha=90.00 beta=93.91 gamma=90.00
Space group P2/m (No. 10)
One atom of each set of equivalent atoms:
Nd1 0.1446 0.0000 0.3887 x2
Nd2 0.2920 0.0000 0.9514 x2
Er1 0.2061 0.5000 0.6719 x2
Er2 0.4251 0.5000 0.2082 x2
Er3 0.5000 0.5000 0.5000 x1
Tl1 0.0547 0.5000 0.1358 x2

[8]
The following is a DFT calculation (GGA-PBE) of a geometry-optimized Nd6ErTl6 structure.

Calculated values
The formation energy comes out at -0.13 eV/atom.

Unit cell a=6.9461 b=11.3860 c=10.4034 alpha=90.00 beta=90.00 gamma=90.00
Space group Cmmm (No. 65)
One atom of each set of equivalent atoms:
Nd1 0.0000 0.0000 0.1937 x4
Nd2 0.2500 0.2500 0.2810 x8
Er1 0.0000 0.5000 0.5000 x2
Tl1 0.0000 0.1294 0.5000 x4
Tl2 0.0000 0.2549 0.0000 x4
Tl3 0.0000 0.5000 0.1950 x4

Repeat the second record exactly.
The following is a DFT calculation (GGA-PBE) of a geometry-optimized Nd3Er5Tl2 structure.

Calculated values
The formation energy comes out at 0.08 eV/atom.

Unit cell a=12.9280 b=15.4784 c=6.4516 alpha=90.00 beta=90.00 gamma=90.00
Space group Ibam (No. 72)
One atom of each set of equivalent atoms:
Nd1 0.0000 0.0000 0.2500 x4
Nd2 0.1203 0.2369 0.0000 x8
Er1 0.0000 0.5000 0.2500 x4
Er2 0.1170 0.3364 0.5000 x8
Er3 0.2451 0.5000 0.2500 x8
Tl1 0.1380 0.1463 0.5000 x8